# PuAl9Co2 (PBE, relaxed)
# N(E_F)	10.1	states/eV/f.u.
# total magnetization	0.512	μB per atom
# ΔH_f (0 K)	-0.35	eV per atom
data_PuAl9Co2
_chemical_formula_sum 'Pu4 Al36 Co8'
_symmetry_space_group_name_H-M 'I 41/a m d'
_symmetry_Int_Tables_number 141
_cell_length_a 10.548
_cell_length_b 10.548
_cell_length_c 6.760
_cell_angle_alpha 90.00
_cell_angle_beta 90.00
_cell_angle_gamma 90.00
loop_
_symmetry_equiv_pos_as_xyz
'x,y,z'
'-x,-y,-z'
'-y+1/4,x+3/4,z+1/4'
'y+1/4,-x+3/4,-z+1/4'
'-x+1/2,-y,z+1/2'
'x+1/2,y,-z+1/2'
'y+1/4,-x+1/4,z+3/4'
'-y+1/4,x+1/4,-z+3/4'
'x,-y,-z'
'-x,y,z'
'-y+1/4,-x+1/4,-z+3/4'
'y+1/4,x+1/4,z+3/4'
'-x+1/2,y,-z+1/2'
'x+1/2,-y,z+1/2'
'y+1/4,x+3/4,-z+1/4'
'-y+1/4,-x+3/4,z+1/4'
'x+1/2,y+1/2,z+1/2'
'-x+1/2,-y+1/2,-z+1/2'
'-y+3/4,x+1/4,z+3/4'
'y+3/4,-x+1/4,-z+3/4'
'-x,-y+1/2,z'
'x,y+1/2,-z'
'y+3/4,-x+3/4,z+1/4'
'-y+3/4,x+3/4,-z+1/4'
'x+1/2,-y+1/2,-z+1/2'
'-x+1/2,y+1/2,z+1/2'
'-y+3/4,-x+3/4,-z+1/4'
'y+3/4,x+3/4,z+1/4'
'-x,y+1/2,-z'
'x,-y+1/2,z'
'y+3/4,x+1/4,-z+3/4'
'-y+3/4,-x+1/4,z+3/4'
loop_
_atom_site_label
_atom_site_type_symbol
_atom_site_fract_x
_atom_site_fract_y
_atom_site_fract_z
_atom_site_occupancy
Pu1 Pu 0.000 0.250 0.375 1
Al1 Al 0.000 0.250 0.875 1
Al2 Al 0.122 0.053 0.688 1
Co1 Co 0.000 0.000 0.000 1